Entry from the Alexandria database: a geometry-optimized TbPm2Tm2Sc2 structure (PBE).

The space group is C2/m (No. 12) and the conventional cell measures 11.348, 3.420 and 11.531 Å, with angles of 90.00, 108.61 and 90.00 degrees. Symmetry generates all atoms from Tb at (0.000, 0.000, 0.000), Pm at (0.173, 0.500, 0.589), Tm at (0.045, 0.500, 0.268) and Sc at (0.228, 0.000, 0.869).

Its density of states at the Fermi level is 1.748 states/eV/atom. The calculation puts the total magnetization at 0.000 Bohr magnetons per cell. The calculated total energy comes out at -34.98 eV/f.u. Its formation energy is 0.759 eV/f.u.

Entry from the Alexandria database: a geometry-optimized LaPr3Pd structure (PBE).

The space group is Pm-3m (No. 221) and the conventional cell measures 5.723, 5.723 and 5.723 Å, with angles of 90.00, 90.00 and 90.00 degrees. Symmetry generates all atoms from La at (0.000, 0.000, 0.000), Pr at (0.000, 0.500, 0.500) and Pd at (0.500, 0.500, 0.500).

As for the relative energy among the computed polymorphs: 1.12 eV per formula unit. Its density of states at the Fermi level is 2.534 states/eV/atom. The calculation puts the total magnetization at 0.003 Bohr magnetons per cell. The calculated total energy comes out at -24.88 eV/f.u. Its formation energy is -0.424 eV/f.u.

Repeat the second record exactly.
Entry from the Alexandria database: a geometry-optimized LaPr3Pd structure (PBE).

The space group is Pm-3m (No. 221) and the conventional cell measures 5.723, 5.723 and 5.723 Å, with angles of 90.00, 90.00 and 90.00 degrees. Symmetry generates all atoms from La at (0.000, 0.000, 0.000), Pr at (0.000, 0.500, 0.500) and Pd at (0.500, 0.500, 0.500).

As for the relative energy among the computed polymorphs: 1.12 eV per formula unit. Its density of states at the Fermi level is 2.534 states/eV/atom. The calculation puts the total magnetization at 0.003 Bohr magnetons per cell. The calculated total energy comes out at -24.88 eV/f.u. Its formation energy is -0.424 eV/f.u.